DFT (PBE) results for a relaxed structure of LiTm2Cl2O2.

Lattice parameters (Å, degrees): 3.9379 3.9379 7.4756 90.00 90.00 90.00
Last column: nearest neighbours and their distance in Å.
Space group P4mm (No. 99)
Inequivalent atoms, fractional coordinates:
1 Li 0.0000 0.0000 0.0000 x1  4 O 2.07, 1 Cl 2.21
2 Tm 0.0000 0.0000 0.3429 x1  1 Li 2.56, 5 Cl 2.70-2.87, 4 O 2.75
3 Tm 0.5000 0.5000 0.9705 x1  4 O 2.15
4 Cl 0.0000 0.0000 0.7046 x1  1 Li 2.21
5 Cl 0.5000 0.5000 0.4334 x1  4 Tm 2.87
6 O 0.0000 0.5000 0.0852 x2  2 Li 2.07, 2 Tm 2.15

Properties
**Relative energy among the computed polymorphs**: 0.347 eV/atom
**E_form (uncorrected)**: -2.180 eV per atom
**Total magnetization**: 0.0 μB/cell
**E**: -5.68 eV per atom